The following is a GGA+U calculation of Cs2HoNi3F12 after structural relaxation, from the Alexandria database.

**Magnetic moment**: 4.999 μB/cell
**Density of states at the Fermi level**: 1.37 states/eV per cell
**Calculated total energy**: -0.347 Ry/atom

a b c (Å): 7.6243 7.6243 7.6243
angles (deg): 57.91 57.91 57.91
Sites, in units of the cell vectors:
Cs  0.1136  0.1136  0.1136
Cs  0.8864  0.8864  0.8864
Ho  0.5000  0.5000  0.5000
Ni  0.0000  0.5000  0.5000
Ni  0.5000  0.0000  0.5000
Ni  0.5000  0.5000  0.0000
F  0.1508  0.5835  0.5835
F  0.1933  0.1933  0.5801
F  0.1933  0.5801  0.1933
F  0.4165  0.4165  0.8492
F  0.4165  0.8492  0.4165
F  0.4199  0.8067  0.8067
F  0.5801  0.1933  0.1933
F  0.5835  0.1508  0.5835
F  0.5835  0.5835  0.1508
F  0.8067  0.4199  0.8067
F  0.8067  0.8067  0.4199
F  0.8492  0.4165  0.4165